## Ba2LiCoO4 (GGA+U)

Data for crystalline Ba2LiCoO4 at its relaxed geometry.

The space group is I-4 (No. 82) and the conventional cell measures 5.961, 5.961 and 7.121 Å, with angles of 90.00, 90.00 and 90.00 degrees. The inequivalent atoms are Ba at (0.000, 0.000, 0.000), Ba at (0.000, 0.500, 0.250), Li at (0.000, 0.000, 0.500), Co at (0.000, 0.500, 0.750) and O at (0.158, 0.737, 0.632).

The value obtained for the calculated density is 5.31 g cm⁻³. For the total energy, the calculation gives -5.72 eV per atom.